Record 1
Li2Cd2H: optimized geometry, PBE.

For the density of states at the Fermi level, the calculation gives 0.363 states/eV per atom. The symmetry is P4/mbm, No. 127. The value obtained for the magnetic moment is 0.0 μB per formula unit. Its energy relative to the lowest polymorph listed for this composition is 147.3 meV/atom. The mass density comes out at 4.48 Mg/m³.

Unit cell a=6.1188 b=6.1188 c=4.7503 alpha=90.00 beta=90.00 gamma=90.00
Positions (direct):
1 Li 0.1552 0.3448 0.0000
2 Li 0.3448 0.8448 0.0000
3 Li 0.6552 0.1552 0.0000
4 Li 0.8448 0.6552 0.0000
5 Cd 0.1655 0.6655 0.5000
6 Cd 0.3345 0.1655 0.5000
7 Cd 0.6655 0.8345 0.5000
8 Cd 0.8345 0.3345 0.5000
9 H 0.0000 0.0000 0.5000
10 H 0.5000 0.5000 0.5000

---

Record 2
Li2MnCdH6: optimized geometry, PBE.

For the density of states at the Fermi level, the calculation gives 0.224 states/eV per atom. The symmetry is P1, No. 1. The value obtained for the magnetic moment is 1.0 μB per formula unit. Its electronic total energy is -3.539 eV/atom. The mass density comes out at 3.07 Mg/m³.

Unit cell a=4.7449 b=4.8325 c=5.0894 alpha=86.27 beta=84.88 gamma=60.68
Positions (direct):
1 Li 0.0000 0.0000 0.0000
2 Li 0.3365 0.3295 0.4996
3 Mn 0.3353 0.3310 0.9994
4 Cd 0.6677 0.6675 0.9988
5 H 0.1398 0.2258 0.2208
6 H 0.1525 0.6165 0.7860
7 H 0.2374 0.6107 0.2060
8 H 0.2770 0.1163 0.8030
9 H 0.6101 0.1113 0.2006
10 H 0.6321 0.2374 0.7803

---

Record 3
LiMnCdH6: optimized geometry, PBE.

For the density of states at the Fermi level, the calculation gives 0.068 states/eV per atom. The symmetry is P6_3/mmc, No. 194. The value obtained for the magnetic moment is 2.0 μB per formula unit. Its electronic total energy is -3.434 eV/atom. The mass density comes out at 4.01 Mg/m³.

Unit cell a=4.5711 b=4.5711 c=8.2436 alpha=90.00 beta=90.00 gamma=120.00
Positions (direct):
1 Li 0.3333 0.6667 0.2500
2 Li 0.6667 0.3333 0.7500
3 Mn 0.3333 0.6667 0.7500
4 Mn 0.6667 0.3333 0.2500
5 Cd 0.0000 0.0000 0.0000
6 Cd 0.0000 0.0000 0.5000
7 H 0.0363 0.5181 0.6192
8 H 0.0363 0.5181 0.8808
9 H 0.4819 0.5181 0.6192
10 H 0.4819 0.5181 0.8808
11 H 0.4819 0.9637 0.6192
12 H 0.4819 0.9637 0.8808
13 H 0.5181 0.0363 0.1192
14 H 0.5181 0.0363 0.3808
15 H 0.5181 0.4819 0.1192
16 H 0.5181 0.4819 0.3808
17 H 0.9637 0.4819 0.1192
18 H 0.9637 0.4819 0.3808

---

What did the second record say?
Li2MnCdH6: optimized geometry, PBE.

For the density of states at the Fermi level, the calculation gives 0.224 states/eV per atom. The symmetry is P1, No. 1. The value obtained for the magnetic moment is 1.0 μB per formula unit. Its electronic total energy is -3.539 eV/atom. The mass density comes out at 3.07 Mg/m³.

Unit cell a=4.7449 b=4.8325 c=5.0894 alpha=86.27 beta=84.88 gamma=60.68
Positions (direct):
1 Li 0.0000 0.0000 0.0000
2 Li 0.3365 0.3295 0.4996
3 Mn 0.3353 0.3310 0.9994
4 Cd 0.6677 0.6675 0.9988
5 H 0.1398 0.2258 0.2208
6 H 0.1525 0.6165 0.7860
7 H 0.2374 0.6107 0.2060
8 H 0.2770 0.1163 0.8030
9 H 0.6101 0.1113 0.2006
10 H 0.6321 0.2374 0.7803